The following is a DFT calculation (PBE) of KAlSe2 after structural relaxation.

Results
Raw formation energy ... -1.100 eV/atom

Unit cell a=6.7377 b=6.7426 c=6.8976 alpha=90.18 beta=110.82 gamma=119.98
With the nearest neighbours (Å) after each atom.
Space group P1 (No. 1)
Unique sites:
K (0.0000, 0.0000, 0.0000) [1 per cell]  5 Se 3.28-3.47
K (0.4991, 0.7473, 0.2513) [1 per cell]  5 Se 3.29-3.48
Al (0.0148, 0.5527, 0.6175) [1 per cell]  4 Se 2.40-2.44
Al (0.4846, 0.2873, 0.6339) [1 per cell]  4 Se 2.40-2.44
Se (0.0883, 0.9389, 0.5706) [1 per cell]  2 Al 2.40-2.44
Se (0.4111, 0.6004, 0.6809) [1 per cell]  2 Al 2.40-2.44
Se (0.6006, 0.2913, 0.3356) [1 per cell]  2 Al 2.43-2.44
Se (0.8989, 0.4426, 0.9158) [1 per cell]  2 Al 2.42-2.44



The following is a DFT calculation (PBE) of KAlSe2 after structural relaxation.

Results
Raw formation energy ... -0.797 eV/atom

Unit cell a=4.1379 b=4.1379 c=25.5560 alpha=90.00 beta=90.00 gamma=120.00
With the nearest neighbours (Å) after each atom.
Space group R3m (No. 160, hexagonal axes)
Unique sites:
K (0.0000, 0.0000, 0.0000) [3 per cell]  4 Se 3.03-3.37
Al (0.0000, 0.0000, 0.4934) [3 per cell]  1 Se 2.23
Se (0.0000, 0.0000, 0.4060) [3 per cell]  1 Al 2.23
Se (0.0000, 0.0000, 0.8681) [3 per cell]  3 Al 2.61



The following is a DFT calculation (PBE) of KAlSe4 after structural relaxation.

Results
Raw formation energy ... 0.033 eV/atom

Unit cell a=8.4056 b=8.4056 c=8.4056 alpha=90.00 beta=90.00 gamma=90.00
With the nearest neighbours (Å) after each atom.
Space group F-43m (No. 216)
Unique sites:
K (0.0000, 0.0000, 0.0000) [4 per cell]  12 Se 3.49, 4 Al 3.64
Al (0.2500, 0.2500, 0.2500) [4 per cell]  12 Se 3.48, 4 K 3.64
Se (0.1240, 0.1240, 0.6240) [16 per cell]  6 Se 2.95-3.00



The following is a DFT calculation (PBE) of KAlSe2 after structural relaxation.

Results
Raw formation energy ... -1.149 eV/atom

Unit cell a=8.3358 b=11.2665 c=6.1537 alpha=90.00 beta=119.70 gamma=90.00
With the nearest neighbours (Å) after each atom.
Space group C2/c (No. 15)
Unique sites:
K (0.0000, 0.1346, 0.2500) [4 per cell]  6 Se 3.38-3.63
Al (0.0000, 0.4947, 0.7500) [4 per cell]  4 Se 2.42
Se (0.1881, 0.3872, 0.1342) [8 per cell]  2 Al 2.42



The following is a DFT calculation (PBE) of KAlSe after structural relaxation.

Results
Distance to the lowest polymorph of the same formula ... 46 meV per atom
Raw formation energy ... -0.666 eV/atom

Unit cell a=5.0256 b=10.6076 c=7.0684 alpha=90.00 beta=90.00 gamma=90.00
With the nearest neighbours (Å) after each atom.
Space group Ima2 (No. 46)
Unique sites:
K (0.2500, 0.1575, 0.0000) [4 per cell]  4 Se 3.36-3.49
Al (0.0000, 0.0000, 0.5254) [4 per cell]  2 Al 2.51, 2 Se 2.52
Se (0.2500, 0.6504, 0.8144) [4 per cell]  2 Al 2.52



The following is a DFT calculation (PBE) of K3AlSe3 after structural relaxation.

Results
Distance to the lowest polymorph of the same formula ... 5 meV per atom
Raw formation energy ... -1.199 eV/atom

Unit cell a=8.1711 b=13.2976 c=10.5086 alpha=90.00 beta=127.59 gamma=90.00
With the nearest neighbours (Å) after each atom.
Space group P2_1/c (No. 14)
Unique sites:
K (0.1234, 0.1193, 0.4727) [4 per cell]  4 Se 3.26-3.37
K (0.1761, 0.1026, 0.8982) [4 per cell]  5 Se 3.28-3.49
K (0.3487, 0.6870, 0.5703) [4 per cell]  5 Se 3.39-3.63, 1 Al 3.59
Al (0.4423, 0.0630, 0.3414) [4 per cell]  4 Se 2.38-2.48
Se (0.1736, 0.1863, 0.1993) [4 per cell]  1 Al 2.40
Se (0.3286, 0.6014, 0.8677) [4 per cell]  2 Al 2.46-2.48
Se (0.3703, 0.5479, 0.2636) [4 per cell]  1 Al 2.38



The following is a DFT calculation (PBE) of KAlSe2 after structural relaxation.

Results
Raw formation energy ... -0.694 eV/atom

Unit cell a=3.6801 b=3.7078 c=8.1606 alpha=90.00 beta=90.00 gamma=90.00
With the nearest neighbours (Å) after each atom.
Space group Pmm2 (No. 25)
Unique sites:
K (0.0000, 0.0000, 0.0000) [1 per cell]  5 Se 3.13-3.31
Al (0.5000, 0.5000, 0.5035) [1 per cell]  1 Se 2.32
Se (0.0000, 0.0000, 0.4062) [1 per cell]  4 Al 2.73
Se (0.5000, 0.5000, 0.7879) [1 per cell]  1 Al 2.32



The following is a DFT calculation (PBE) of KAlSe2 after structural relaxation.

Results
Raw formation energy ... -0.867 eV/atom

Unit cell a=6.5996 b=5.4261 c=15.0727 alpha=90.00 beta=114.92 gamma=90.00
With the nearest neighbours (Å) after each atom.
Space group P2_1/c (No. 14)
Unique sites:
K (0.2114, 0.0222, 0.2131) [4 per cell]  6 Se 3.24-3.48
Al (0.4153, 0.2208, 0.4986) [4 per cell]  3 Se 2.47-2.49, 1 Al 2.64
Se (0.0307, 0.2174, 0.4897) [4 per cell]  1 Se 2.44, 1 Al 2.48
Se (0.3644, 0.5077, 0.3622) [4 per cell]  2 Al 2.47-2.49



Number 5 is which compound?
KAlSe



Look up the raw formation energy of the seventh one.
-0.694 eV/atom



Copy entry 3 word for word.
The following is a DFT calculation (PBE) of KAlSe4 after structural relaxation.

Results
Raw formation energy ... 0.033 eV/atom

Unit cell a=8.4056 b=8.4056 c=8.4056 alpha=90.00 beta=90.00 gamma=90.00
With the nearest neighbours (Å) after each atom.
Space group F-43m (No. 216)
Unique sites:
K (0.0000, 0.0000, 0.0000) [4 per cell]  12 Se 3.49, 4 Al 3.64
Al (0.2500, 0.2500, 0.2500) [4 per cell]  12 Se 3.48, 4 K 3.64
Se (0.1240, 0.1240, 0.6240) [16 per cell]  6 Se 2.95-3.00



What did the first record say?
The following is a DFT calculation (PBE) of KAlSe2 after structural relaxation.

Results
Raw formation energy ... -1.100 eV/atom

Unit cell a=6.7377 b=6.7426 c=6.8976 alpha=90.18 beta=110.82 gamma=119.98
With the nearest neighbours (Å) after each atom.
Space group P1 (No. 1)
Unique sites:
K (0.0000, 0.0000, 0.0000) [1 per cell]  5 Se 3.28-3.47
K (0.4991, 0.7473, 0.2513) [1 per cell]  5 Se 3.29-3.48
Al (0.0148, 0.5527, 0.6175) [1 per cell]  4 Se 2.40-2.44
Al (0.4846, 0.2873, 0.6339) [1 per cell]  4 Se 2.40-2.44
Se (0.0883, 0.9389, 0.5706) [1 per cell]  2 Al 2.40-2.44
Se (0.4111, 0.6004, 0.6809) [1 per cell]  2 Al 2.40-2.44
Se (0.6006, 0.2913, 0.3356) [1 per cell]  2 Al 2.43-2.44
Se (0.8989, 0.4426, 0.9158) [1 per cell]  2 Al 2.42-2.44